This record from Alexandria describes an optimized crystal structure of Y2ErAl2Pd5. The functional is PBE.

a b c (Å): 3.7167 10.1634 10.1634
angles (deg): 90.00 90.00 90.00
Atoms (fractional coordinates):
Y 0.0000 0.6760 0.1760
Y 0.0000 0.3240 0.8240
Y 0.0000 0.1760 0.3240
Y 0.0000 0.8240 0.6760
Er 0.0000 0.0000 0.0000
Er 0.0000 0.5000 0.5000
Al 0.0000 0.1203 0.6203
Al 0.0000 0.8797 0.3797
Al 0.0000 0.6203 0.8797
Al 0.0000 0.3797 0.1203
Pd 0.5000 0.2152 0.0661
Pd 0.5000 0.7848 0.9339
Pd 0.5000 0.0661 0.7848
Pd 0.5000 0.7152 0.4339
Pd 0.5000 0.9339 0.2152
Pd 0.5000 0.2848 0.5661
Pd 0.5000 0.5661 0.7152
Pd 0.5000 0.4339 0.2848
Pd 0.5000 0.5000 0.0000
Pd 0.5000 0.0000 0.5000

## Properties
- Spin magnetization: 0.0 Bohr magnetons per cell
- Space-group type: No. 127
- Uncorrected energy: -119.393 eV/cell

This record from Alexandria describes an optimized crystal structure of CeDy2Y3P6. The functional is PBE.

a b c (Å): 6.9622 6.9622 6.9638
angles (deg): 99.59 99.59 119.99
Site moments in Bohr magnetons follow the coordinates.
Atoms (fractional coordinates):
Ce 0.0000 0.0000 0.0000  0.26
Dy 0.3334 0.6666 0.0000  0.00
Dy 0.6666 0.3334 0.0000  0.00
Y 0.1667 0.8333 0.5000  0.00
Y 0.8333 0.1667 0.5000  0.00
Y 0.5000 0.5000 0.5000  0.00
P 0.9168 0.5837 0.7501  -0.01
P 0.7499 0.7499 0.2488  0.00
P 0.0832 0.4163 0.2499  -0.01
P 0.5837 0.9168 0.7501  -0.01
P 0.2501 0.2501 0.7512  0.00
P 0.4163 0.0832 0.2499  -0.01

## Properties
- Spin magnetization: 0.3 Bohr magnetons per cell
- Space-group type: No. 12
- Uncorrected energy: -86.309 eV/cell

This record from Alexandria describes an optimized crystal structure of Nd2Y7Th2. The functional is PBE.

a b c (Å): 6.0537 8.1559 8.1559
angles (deg): 91.10 73.84 73.84
Atoms (fractional coordinates):
Nd 0.5929 0.7680 0.7680
Nd 0.4071 0.2320 0.2320
Y 0.1674 0.0618 0.5925
Y 0.8326 0.4075 0.9382
Y 0.8326 0.9382 0.4075
Y 0.1674 0.5925 0.0618
Y 0.0000 0.0000 0.0000
Y 0.8019 0.4095 0.4095
Y 0.1981 0.5905 0.5905
Th 0.5000 0.7865 0.2135
Th 0.5000 0.2135 0.7865

## Properties
- Offset from the most stable computed form: 0 meV/atom
- Spin magnetization: 0.0 Bohr magnetons per cell
- Space-group type: No. 12

This record from Alexandria describes an optimized crystal structure of Nb2SnPtW. The functional is PBE.

a b c (Å): 4.9735 4.6852 4.9735
angles (deg): 90.00 90.00 90.00
Atoms (fractional coordinates):
Nb 0.0000 0.0000 0.5000
Nb 0.5000 0.0000 0.0000
W 0.5000 0.5000 0.5000
Pt 0.0000 0.5000 0.0000
Sn 0.0000 0.0000 0.0000

## Properties
- Spin magnetization: 0.0 Bohr magnetons per cell
- Space-group type: No. 123
- Uncorrected energy: -33.592 eV/cell

This record from Alexandria describes an optimized crystal structure of BaCdInHg6. The functional is PBE.

a b c (Å): 6.0179 11.5813 10.6936
angles (deg): 122.79 106.34 90.00
Atoms (fractional coordinates):
Ba 0.9007 0.6507 0.8014
Ba 0.0993 0.3493 0.1986
Cd 0.5000 0.0000 0.5000
Cd 0.0000 0.0000 0.5000
In 0.5000 0.5000 0.0000
In 0.5000 0.0000 0.0000
Hg 0.5298 0.7798 0.0597
Hg 0.9024 0.1524 0.8049
Hg 0.9093 0.1543 0.3205
Hg 0.4111 0.6662 0.3205
Hg 0.4111 0.1543 0.3205
Hg 0.9093 0.6662 0.3205
Hg 0.4702 0.2202 0.9403
Hg 0.0976 0.8476 0.1951
Hg 0.0907 0.8457 0.6795
Hg 0.5889 0.3338 0.6795
Hg 0.5889 0.8457 0.6795
Hg 0.0907 0.3338 0.6795

## Properties
- Spin magnetization: 0.0 Bohr magnetons per cell
- Space-group type: No. 74
- Uncorrected energy: -16.582 eV/cell

This record from Alexandria describes an optimized crystal structure of Ac6SbPb3. The functional is PBE.

a b c (Å): 4.7979 12.6018 14.1612
angles (deg): 103.92 90.00 90.00
Site moments in Bohr magnetons follow the coordinates.
Atoms (fractional coordinates):
Ac 0.7500 0.4704 0.6296  0.18
Ac 0.2500 0.5296 0.3704  0.18
Ac 0.7500 0.8794 0.0978  0.03
Ac 0.2500 0.1206 0.9022  0.03
Ac 0.7500 0.4279 0.0991  0.10
Ac 0.2500 0.5721 0.9009  0.10
Ac 0.7500 0.7619 0.3079  0.15
Ac 0.2500 0.2381 0.6921  0.15
Ac 0.7500 0.1130 0.4574  0.18
Ac 0.2500 0.8870 0.5426  0.18
Ac 0.7500 0.8051 0.7608  0.09
Ac 0.2500 0.1949 0.2392  0.09
Sb 0.7500 0.0428 0.6921  -0.01
Sb 0.2500 0.9572 0.3079  -0.01
Pb 0.7500 0.3683 0.8529  -0.01
Pb 0.2500 0.6317 0.1471  -0.01
Pb 0.7500 0.6805 0.5163  -0.02
Pb 0.2500 0.3195 0.4837  -0.02
Pb 0.7500 0.1491 0.0762  0.00
Pb 0.2500 0.8509 0.9238  0.00

## Properties
- Spin magnetization: 5.2 Bohr magnetons per cell
- Space-group type: No. 11
- Uncorrected energy: -89.279 eV/cell

This record from Alexandria describes an optimized crystal structure of Co3BiS. The functional is PBE.

a b c (Å): 4.8823 4.8823 4.8823
angles (deg): 90.00 90.00 90.00
Site moments in Bohr magnetons follow the coordinates.
Atoms (fractional coordinates):
S 0.5000 0.5000 0.5000  0.15
Co 0.0000 0.5000 0.0000  1.75
Co 0.0000 0.0000 0.5000  1.70
Co 0.5000 0.0000 0.0000  1.97
Bi 0.0000 0.0000 0.0000  -0.01

## Properties
- Offset from the most stable computed form: 1454 meV/atom
- Spin magnetization: 5.8 Bohr magnetons per cell
- Space-group type: No. 221

This record from Alexandria describes an optimized crystal structure of Fe4Pt6Rh7. The functional is PBE.

a b c (Å): 7.0276 7.0276 7.0276
angles (deg): 109.47 109.47 109.47
Site moments in Bohr magnetons follow the coordinates.
Atoms (fractional coordinates):
Fe 0.5000 0.0000 0.0000  3.27
Fe 0.5000 0.5000 0.5000  3.27
Fe 0.0000 0.5000 0.0000  3.27
Fe 0.0000 0.0000 0.5000  3.27
Pt 0.7016 0.0000 0.7016  0.14
Pt 0.7016 0.7016 0.0000  0.14
Pt 0.0000 0.2984 0.2984  0.14
Pt 0.2984 0.0000 0.2984  0.14
Pt 0.2984 0.2984 0.0000  0.14
Pt 0.0000 0.7016 0.7016  0.14
Rh 0.7500 0.5000 0.2500  0.35
Rh 0.2500 0.7500 0.5000  0.35
Rh 0.5000 0.7500 0.2500  0.35
Rh 0.7500 0.2500 0.5000  0.35
Rh 0.2500 0.5000 0.7500  0.35
Rh 0.5000 0.2500 0.7500  0.35
Rh 0.0000 0.0000 0.0000  -0.49

## Properties
- Spin magnetization: 15.5 Bohr magnetons per cell
- Space-group type: No. 229
- Uncorrected energy: -116.898 eV/cell

This record from Alexandria describes an optimized crystal structure of Na2InAg5Au2. The functional is PBE.

a b c (Å): 4.3750 9.7427 9.7427
angles (deg): 90.00 90.00 90.00
Atoms (fractional coordinates):
Na 0.0000 0.6699 0.1699
Na 0.0000 0.3301 0.8301
Na 0.0000 0.1699 0.3301
Na 0.0000 0.8301 0.6699
In 0.0000 0.0000 0.0000
In 0.0000 0.5000 0.5000
Ag 0.5000 0.1999 0.0711
Ag 0.5000 0.8001 0.9289
Ag 0.5000 0.0711 0.8001
Ag 0.5000 0.6999 0.4289
Ag 0.5000 0.9289 0.1999
Ag 0.5000 0.3001 0.5711
Ag 0.5000 0.5711 0.6999
Ag 0.5000 0.4289 0.3001
Ag 0.5000 0.5000 0.0000
Ag 0.5000 0.0000 0.5000
Au 0.0000 0.1267 0.6267
Au 0.0000 0.8733 0.3733
Au 0.0000 0.6267 0.8733
Au 0.0000 0.3733 0.1267

## Properties
- Spin magnetization: 0.0 Bohr magnetons per cell
- Space-group type: No. 127
- Uncorrected energy: -54.269 eV/cell

This record from Alexandria describes an optimized crystal structure of LaDy15Tm4. The functional is PBE.

a b c (Å): 5.0092 5.0092 25.0677
angles (deg): 90.00 90.00 90.00
Atoms (fractional coordinates):
La 0.0000 0.0000 0.0000
Dy 0.5000 0.5000 0.0000
Dy 0.5000 0.5000 0.2031
Dy 0.5000 0.5000 0.4008
Dy 0.5000 0.5000 0.5992
Dy 0.5000 0.5000 0.7969
Dy 0.5000 0.0000 0.1033
Dy 0.5000 0.0000 0.3016
Dy 0.5000 0.0000 0.5000
Dy 0.5000 0.0000 0.6984
Dy 0.5000 0.0000 0.8967
Dy 0.0000 0.5000 0.1033
Dy 0.0000 0.5000 0.3016
Dy 0.0000 0.5000 0.5000
Dy 0.0000 0.5000 0.6984
Dy 0.0000 0.5000 0.8967
Tm 0.0000 0.0000 0.2020
Tm 0.0000 0.0000 0.4009
Tm 0.0000 0.0000 0.5991
Tm 0.0000 0.0000 0.7980

## Properties
- Spin magnetization: 0.0 Bohr magnetons per cell
- Space-group type: No. 123
- Uncorrected energy: -91.379 eV/cell

This record from Alexandria describes an optimized crystal structure of MoPCS2. The functional is PBE.

a b c (Å): 4.0572 4.0572 3.9498
angles (deg): 90.00 90.00 90.00
Site moments in Bohr magnetons follow the coordinates.
Atoms (fractional coordinates):
C 0.0000 0.0000 0.0000  -0.06
P 0.0000 0.0000 0.5000  -0.04
Mo 0.5000 0.5000 0.5000  1.29
S 0.0000 0.5000 0.0000  -0.03
S 0.5000 0.0000 0.0000  -0.03

## Properties
- Offset from the most stable computed form: 0 meV/atom
- Spin magnetization: 1.2 Bohr magnetons per cell
- Space-group type: No. 123

This record from Alexandria describes an optimized crystal structure of La9Pm4Mg11. The functional is PBE.

a b c (Å): 3.8012 14.4956 14.4956
angles (deg): 111.52 90.00 90.00
Atoms (fractional coordinates):
La 0.5000 0.6241 0.1442
La 0.5000 0.3759 0.8558
La 0.5000 0.1442 0.6241
La 0.5000 0.8558 0.3759
La 0.5000 0.7915 0.9617
La 0.5000 0.2085 0.0383
La 0.5000 0.9617 0.7915
La 0.5000 0.0383 0.2085
La 0.5000 0.5000 0.5000
Pm 0.5000 0.5596 0.7436
Pm 0.5000 0.4404 0.2564
Pm 0.5000 0.7436 0.5596
Pm 0.5000 0.2564 0.4404
Mg 0.0000 0.5871 0.9394
Mg 0.0000 0.4129 0.0606
Mg 0.0000 0.9394 0.5871
Mg 0.0000 0.0606 0.4129
Mg 0.0000 0.6415 0.3585
Mg 0.0000 0.3585 0.6415
Mg 0.0000 0.8313 0.1687
Mg 0.0000 0.1687 0.8313
Mg 0.0000 0.0000 0.0000
Mg 0.0000 0.7490 0.7490
Mg 0.0000 0.2510 0.2510

## Properties
- Spin magnetization: 0.0 Bohr magnetons per cell
- Space-group type: No. 65
- Uncorrected energy: -82.427 eV/cell

This record from Alexandria describes an optimized crystal structure of ZrGeAsPb2. The functional is PBE.

a b c (Å): 5.7012 5.1155 5.7012
angles (deg): 90.00 90.00 90.00
Atoms (fractional coordinates):
Pb 0.0000 0.0000 0.5000
Pb 0.5000 0.0000 0.0000
As 0.0000 0.5000 0.0000
Ge 0.5000 0.5000 0.5000
Zr 0.0000 0.0000 0.0000

## Properties
- Spin magnetization: 0.0 Bohr magnetons per cell
- Space-group type: No. 123
- Uncorrected energy: -22.621 eV/cell

This record from Alexandria describes an optimized crystal structure of Li4H6Rh. The functional is PBE.

a b c (Å): 5.7085 5.7085 5.7085
angles (deg): 90.15 90.15 89.85
Atoms (fractional coordinates):
Li 0.3764 0.1236 0.2500
Li 0.8764 0.2500 0.3764
Li 0.2500 0.6236 0.1236
Li 0.2500 0.2500 0.7500
Li 0.7500 0.7500 0.2500
Li 0.7500 0.3764 0.8764
Li 0.1236 0.7500 0.6236
Li 0.6236 0.8764 0.7500
H 0.7078 0.0462 0.0585
H 0.0585 0.2922 0.0462
H 0.5585 0.4538 0.2078
H 0.9538 0.0585 0.7078
H 0.5462 0.2078 0.5585
H 0.2078 0.4415 0.4538
H 0.7922 0.5585 0.5462
H 0.4538 0.7922 0.4415
H 0.0462 0.9415 0.2922
H 0.4415 0.5462 0.7922
H 0.9415 0.7078 0.9538
H 0.2922 0.9538 0.9415
Rh 0.5000 0.5000 0.5000
Rh 0.0000 0.0000 0.0000

## Properties
- Spin magnetization: 0.0 Bohr magnetons per cell
- Space-group type: No. 167
- Uncorrected energy: -79.093 eV/cell

This record from Alexandria describes an optimized crystal structure of NdThSe2. The functional is PBE.

a b c (Å): 4.0796 4.0796 14.7632
angles (deg): 90.00 90.00 120.00
Atoms (fractional coordinates):
Nd 0.0000 0.0000 0.5000
Nd 0.0000 0.0000 0.0000
Th 0.6667 0.3333 0.2500
Th 0.3333 0.6667 0.7500
Se 0.3333 0.6667 0.3763
Se 0.6667 0.3333 0.8763
Se 0.6667 0.3333 0.6237
Se 0.3333 0.6667 0.1237

## Properties
- Offset from the most stable computed form: 19 meV/atom
- Spin magnetization: 0.0 Bohr magnetons per cell
- Space-group type: No. 194

This record from Alexandria describes an optimized crystal structure of Nd5Eu3H12. The functional is PBE.

a b c (Å): 11.9685 11.9685 11.9685
angles (deg): 109.47 109.47 109.47
Site moments in Bohr magnetons follow the coordinates.
Atoms (fractional coordinates):
Eu 0.7500 0.3750 0.1250  6.83
Eu 0.8750 0.7500 0.1250  6.83
Eu 0.3750 0.7500 0.6250  6.83
Eu 0.2500 0.1250 0.3750  6.83
Eu 0.8750 0.1250 0.2500  6.83
Eu 0.3750 0.6250 0.2500  6.83
Eu 0.6250 0.3750 0.7500  6.83
Eu 0.1250 0.8750 0.7500  6.83
Eu 0.7500 0.8750 0.6250  6.83
Eu 0.6250 0.2500 0.3750  6.83
Eu 0.1250 0.2500 0.8750  6.83
Eu 0.2500 0.6250 0.8750  6.83
Nd 0.1250 0.3750 0.2500  0.20
Nd 0.0000 0.5000 0.0000  0.15
Nd 0.0000 0.0000 0.0000  0.15
Nd 0.3750 0.2500 0.1250  0.20
Nd 0.5000 0.0000 0.5000  0.15
Nd 0.5000 0.5000 0.0000  0.15
Nd 0.1250 0.7500 0.3750  0.20
Nd 0.7500 0.1250 0.8750  0.20
Nd 0.7500 0.6250 0.3750  0.20
Nd 0.3750 0.1250 0.7500  0.20
Nd 0.6250 0.8750 0.2500  0.20
Nd 0.5000 0.5000 0.5000  0.15
Nd 0.5000 0.0000 0.0000  0.15
Nd 0.0000 0.0000 0.5000  0.15
Nd 0.2500 0.3750 0.6250  0.20
Nd 0.2500 0.8750 0.1250  0.20
Nd 0.0000 0.5000 0.5000  0.15
Nd 0.8750 0.2500 0.6250  0.20
Nd 0.6250 0.7500 0.8750  0.20
Nd 0.8750 0.6250 0.7500  0.20
H 0.7218 0.1503 0.0598  -0.01
H 0.3380 0.5598 0.4095  -0.01
H 0.9402 0.3497 0.2782  -0.01
H 0.5598 0.2218 0.1503  -0.01
H 0.5716 0.7218 0.6620  -0.01
H 0.9402 0.5905 0.1620  -0.01
H 0.3380 0.7782 0.4284  -0.01
H 0.0905 0.9284 0.1503  -0.01
H 0.5905 0.9402 0.6620  -0.01
H 0.7218 0.5716 0.1620  -0.01
H 0.7782 0.4402 0.3497  -0.01
H 0.8380 0.9095 0.0598  -0.01
H 0.1503 0.7218 0.5598  -0.01
H 0.3497 0.4095 0.0716  -0.01
H 0.0716 0.9095 0.3497  -0.01
H 0.4284 0.1503 0.5905  -0.01
H 0.0716 0.1620 0.2218  -0.01
H 0.4402 0.6620 0.0905  -0.01
H 0.8380 0.9284 0.2782  -0.01
H 0.1503 0.4284 0.0905  -0.01
H 0.3497 0.9402 0.7782  -0.01
H 0.5905 0.6503 0.4284  -0.01
H 0.9095 0.8380 0.5598  -0.01
H 0.7782 0.3380 0.9284  -0.01
H 0.4095 0.3497 0.5716  -0.01
H 0.0905 0.1620 0.4402  -0.01
H 0.2218 0.6620 0.0716  -0.01
H 0.1620 0.0716 0.7218  -0.01
H 0.6503 0.0598 0.2218  -0.01
H 0.8497 0.5716 0.9095  -0.01
H 0.5598 0.3380 0.9095  -0.01
H 0.5716 0.8497 0.4095  -0.01
H 0.9284 0.8380 0.7782  -0.01
H 0.9284 0.0905 0.6503  -0.01
H 0.8497 0.2782 0.4402  -0.01
H 0.1620 0.0905 0.9402  -0.01
H 0.6503 0.5905 0.9284  -0.01
H 0.4095 0.0598 0.3380  -0.01
H 0.2782 0.4284 0.8380  -0.01
H 0.2218 0.5598 0.6503  -0.01
H 0.9095 0.0716 0.8497  -0.01
H 0.6620 0.2218 0.5716  -0.01
H 0.4402 0.7782 0.8497  -0.01
H 0.0598 0.4095 0.8380  -0.01
H 0.4284 0.2782 0.3380  -0.01
H 0.0598 0.6503 0.7218  -0.01
H 0.6620 0.4402 0.5905  -0.01
H 0.2782 0.8497 0.9402  -0.01

## Properties
- Spin magnetization: 95.0 Bohr magnetons per cell
- Space-group type: No. 230
- Uncorrected energy: -411.416 eV/cell